Pm4Co2Sn5 | GGA-PBE | relaxed

abc: 4.323 7.387 8.839
angles: 91.23 90.00 90.00
Last column: magnetic moment on the atom in μB.
Atoms (fractional coordinates):
Sn: 0.000 0.500 0.000  0.00
Pm: 0.500 0.211 0.858  -0.04
Sn: 0.000 0.581 0.346  0.00
Sn: 0.000 0.419 0.654  0.00
Pm: 0.500 0.789 0.142  -0.04
Sn: 0.000 0.120 0.140  -0.01
Co: 0.000 0.066 0.613  0.83
Sn: 0.000 0.880 0.860  -0.01
Pm: 0.500 0.230 0.410  -0.07
Pm: 0.500 0.770 0.590  -0.07
Co: 0.000 0.934 0.387  0.83

ΔH_f (0 K)   -48 kJ/mol of atoms
Magnetization   1.17 Bohr magnetons per cell
D(E_F)   9.35 states/eV/f.u.